VASP calculation (GGA-PBEsol) on a geometry-optimized LiCa2 structure.

Geometry as POSCAR:
```
LiCa2
1.0
-3.657 -0.915 1.080
1.383 -1.675 3.264
0.628 7.098 1.021
Ca Li
2 1
Cartesian
-1.288 0.430 3.121
-0.357 4.078 2.244
0.000 0.000 0.000
```

Results
- uncorrected energy (eV per formula unit) = -6.195
- V (A^3/atom) = 34.04
- DFT formation energy (eV per atom) = 0.013
- space group = No. 139
- offset from the most stable computed form (meV per atom) = 0